# 1
DFT (PBE) results for crystalline TiCdAuF2 at its relaxed geometry.

a = 3.9522 Å, b = 3.9522 Å, c = 5.7481 Å
α = 90.00°, β = 90.00°, γ = 90.00°
Closest atoms and distances in Å follow each position.
Sites, in units of the cell vectors:
Ti (0.0000, 0.0000, 0.0000)  4 F 1.98
Cd (0.5000, 0.5000, 0.5000)  4 Au 2.79
Au (0.0000, 0.0000, 0.5000)  4 Cd 2.79, 2 Ti 2.87
F (0.0000, 0.5000, 0.0000)  2 Ti 1.98
F (0.5000, 0.0000, 0.0000)  2 Ti 1.98

Calculated values
The calculation puts the energy relative to the elements, uncorrected at -1676 meV per atom. The electronic total energy comes out at -4.8415 eV/atom. The space group is P4/mmm (123).

***

# 2
DFT (PBE) results for crystalline BeNb2Hg at its relaxed geometry.

a = 7.5445 Å, b = 7.5445 Å, c = 7.5445 Å
α = 25.49°, β = 25.49°, γ = 25.49°
Closest atoms and distances in Å follow each position.
Sites, in units of the cell vectors:
Be (0.0000, 0.0000, 0.0000)  6 Nb 2.33
Nb (0.2729, 0.2729, 0.2729)  3 Be 2.33
Nb (0.7271, 0.7271, 0.7271)  3 Be 2.33
Hg (0.5000, 0.5000, 0.5000)  6 Nb 3.02, 6 Hg 3.33

Calculated values
The formation energy from the elements is 1.176 eV/f.u. The electronic total energy comes out at -5.7478 eV/atom. The space group is R-3m (166). For the relative energy among the computed polymorphs, the calculation gives 0.0000 eV per atom.